Compound: PmCu3Ag
Source: Alexandria via LeMat-Bulk
Functional: PBE
Structure: optimized geometry

Cell and atoms, written as CIF:
```
data_PmCu3Ag
_chemical_formula_sum 'Pm2 Cu6 Ag2'
_space_group_name_H-M_alt 'P 1'
_space_group_IT_number 1
_space_group_name_Hall 'P 1'
_cell_length_a 4.020
_cell_length_b 3.663
_cell_length_c 12.505
_cell_angle_alpha 98.42
_cell_angle_beta 90.00
_cell_angle_gamma 90.00
loop_
_atom_site_label
_atom_site_type_symbol
_atom_site_fract_x
_atom_site_fract_y
_atom_site_fract_z
Pm1 Pm 0.750 0.921 0.841
Cu1 Cu 0.250 0.686 0.372
Pm2 Pm 0.250 0.079 0.159
Cu2 Cu 0.750 0.528 0.056
Ag1 Ag 0.750 0.208 0.417
Cu3 Cu 0.750 0.629 0.258
Ag2 Ag 0.250 0.792 0.583
Cu4 Cu 0.250 0.371 0.742
Cu5 Cu 0.750 0.314 0.628
Cu6 Cu 0.250 0.472 0.944
```

Calculated volume ... 18.21 A^3/atom
Space-group type ... Cmcm (63)
M_tot ... 0.000 Bohr magnetons per cell
Energy relative to the elements ... -37 meV/atom


Compound: Tb6Si2C
Source: Alexandria via LeMat-Bulk
Functional: PBE
Structure: optimized geometry

Cell and atoms, written as CIF:
```
data_Tb6Si2C
_chemical_formula_sum 'Tb12 Si4 C2'
_space_group_name_H-M_alt 'P 1'
_space_group_IT_number 1
_space_group_name_Hall 'P 1'
_cell_length_a 6.232
_cell_length_b 7.737
_cell_length_c 9.337
_cell_angle_alpha 90.00
_cell_angle_beta 91.28
_cell_angle_gamma 90.00
loop_
_atom_site_label
_atom_site_type_symbol
_atom_site_fract_x
_atom_site_fract_y
_atom_site_fract_z
Tb1 Tb 0.329 0.838 0.444
Tb2 Tb 0.671 0.162 0.556
Tb3 Tb 0.386 0.534 0.749
Tb4 Tb 0.171 0.338 0.056
Tb5 Tb 0.114 0.034 0.751
Tb6 Tb 0.857 0.703 0.554
Tb7 Tb 0.829 0.662 0.944
Tb8 Tb 0.614 0.466 0.251
Si1 Si 0.064 0.613 0.256
Tb9 Tb 0.643 0.203 0.946
Si2 Si 0.436 0.113 0.244
Si3 Si 0.564 0.887 0.756
C1 C 0.000 0.000 0.500
Tb10 Tb 0.886 0.966 0.249
Si4 Si 0.936 0.387 0.744
Tb11 Tb 0.143 0.297 0.446
Tb12 Tb 0.357 0.797 0.054
C2 C 0.500 0.500 0.000
```

Calculated volume ... 25.01 A^3/atom
Space-group type ... P2_1/c (14)
Formation energy from raw total energies ... -0.45 eV per atom
M_tot ... 0.004 Bohr magnetons per cell


Compound: HoOsF
Source: Alexandria via LeMat-Bulk
Functional: PBE
Structure: optimized geometry

Cell and atoms, written as CIF:
```
data_HoOsF
_chemical_formula_sum 'Ho2 Os2 F2'
_space_group_name_H-M_alt 'P 1'
_space_group_IT_number 1
_space_group_name_Hall 'P 1'
_cell_length_a 3.052
_cell_length_b 3.052
_cell_length_c 9.716
_cell_angle_alpha 90.00
_cell_angle_beta 90.00
_cell_angle_gamma 90.00
loop_
_atom_site_label
_atom_site_type_symbol
_atom_site_fract_x
_atom_site_fract_y
_atom_site_fract_z
Os1 Os 0.500 0.000 0.421
Os2 Os 0.000 0.500 0.579
Ho1 Ho 0.000 0.500 0.200
F1 F 0.500 0.000 0.075
Ho2 Ho 0.500 0.000 0.800
F2 F 0.000 0.500 0.925
```

Calculated volume ... 15.09 A^3/atom
Space-group type ... P4/nmm (129)
Formation energy from raw total energies ... -1.61 eV per atom
M_tot ... 0.000 Bohr magnetons per cell